Model i:
ThPaSe2: optimized geometry, PBE-GGA.

Cell: 3.997 4.004 7.499 Å, 104.86 91.11 118.73°
Fractional coordinates of all 4 atoms:
Th 0.000 0.000 0.000
Pa 0.500 0.000 0.500
Se 0.247 0.494 0.742
Se 0.753 0.506 0.258

Values from the calculation:
As for the magnetic moment: 0.777 μB/cell. Its density of states at the Fermi level is 5.9 states/eV/f.u. As for the space group: P-1. As for the calculated density: 10.3 g cm⁻³. The volume is 25.07 Å³/atom.

***

Model ii:
ThPaSe2: optimized geometry, PBE-GGA.

Cell: 9.746 9.746 9.746 Å, 22.64 22.64 22.64°
Fractional coordinates of all 4 atoms:
Th 0.000 0.000 0.000
Pa 0.500 0.500 0.500
Se 0.101 0.101 0.101
Se 0.899 0.899 0.899

Values from the calculation:
As for the magnetic moment: 1.141 μB/cell. Its density of states at the Fermi level is 6.2 states/eV/f.u. As for the space group: R-3m. As for the calculated density: 8.6 g cm⁻³. The volume is 30.08 Å³/atom.

***

Tell me which of them is the most stable. Sure, it is model i.